DFT (PBE) results for a relaxed PmYMg crystal.

Calculated values
M_tot = 0.15 μB per formula unit
Energy above the lowest structure with this stoichiometry = 0.00 eV/f.u.
Symmetry = Pnma, No. 62
DFT formation energy = -53.5 meV/atom
Theoretical density = 4.8 g/cm3

Geometry as POSCAR:
```
PmYMg
1.0
3.751 0.000 0.000
0.000 12.923 0.000
0.000 0.000 7.435
Pm Y Mg
4 4 4
Cartesian
2.813 1.169 0.949
0.938 7.631 2.768
0.938 11.753 6.486
2.813 5.292 4.667
2.813 5.227 0.902
0.938 11.688 2.816
0.938 7.696 6.533
2.813 1.235 4.620
2.813 9.720 0.933
0.938 3.259 2.784
0.938 3.203 6.502
2.813 9.664 4.651
```

DFT (PBE) results for a relaxed Pm12YMg3 crystal.

Calculated values
M_tot = 0.00 μB per formula unit
Symmetry = P4/mmm, No. 123
DFT formation energy = 5.5 meV/atom
Theoretical density = 6.2 g/cm3

Geometry as POSCAR:
```
Pm12YMg3
1.0
-1.698 0.453 -4.711
4.394 -1.710 -1.748
-7.102 -18.997 0.732
Pm Y Mg
12 1 3
Cartesian
1.348 -0.628 -3.230
-0.454 -5.447 -3.044
-2.203 -10.127 -2.864
-3.953 -14.807 -2.683
-1.763 -2.217 -2.261
-3.524 -6.930 -2.080
-5.276 -11.614 -1.899
-7.037 -16.327 -1.718
1.283 -3.299 -0.780
-0.478 -8.011 -0.598
-2.230 -12.695 -0.418
-3.991 -17.408 -0.236
0.000 0.000 0.000
-1.807 -4.835 0.186
-3.551 -9.498 0.366
-5.294 -14.162 0.546
```

DFT (PBE) results for a relaxed Pm2YMg2 crystal.

Calculated values
M_tot = 0.00 μB per formula unit
Energy above the lowest structure with this stoichiometry = 0.00 eV/f.u.
Symmetry = P2_1/m, No. 11
DFT formation energy = -80.0 meV/atom
Theoretical density = 4.8 g/cm3

Geometry as POSCAR:
```
Pm2YMg2
1.0
-3.657 0.137 -1.101
1.090 -3.508 -4.058
-1.147 -10.901 9.116
Pm Y Mg
4 2 4
Cartesian
0.551 -3.599 -2.278
-4.265 -10.673 6.235
-0.587 -7.757 1.011
-3.127 -6.515 2.946
-3.096 -10.157 2.411
-0.618 -4.115 1.546
-1.844 -5.592 -1.198
-1.871 -8.680 5.155
-1.837 -12.291 4.594
-1.877 -1.981 -0.637
```

DFT (PBE) results for a relaxed Pm3YMg crystal.

Calculated values
M_tot = 0.00 μB per formula unit
Energy above the lowest structure with this stoichiometry = 0.00 eV/f.u.
Symmetry = C2/m, No. 12
DFT formation energy = -19.9 meV/atom
Theoretical density = 5.7 g/cm3

Geometry as POSCAR:
```
Pm3YMg
1.0
-3.274 1.418 -1.229
-1.491 -3.621 5.587
2.095 10.797 6.876
Pm Y Mg
6 2 2
Cartesian
-0.124 6.476 7.801
-2.546 2.119 3.433
-2.084 -1.447 3.882
-0.586 10.042 7.352
0.158 4.327 4.571
-2.828 4.267 6.663
-0.439 7.912 4.506
-2.230 0.682 6.728
-2.595 7.526 9.802
-0.075 1.068 1.432
```

DFT (PBE) results for a relaxed Pm3YMg4 crystal.

Calculated values
M_tot = 0.00 μB per formula unit
Symmetry = P4/mmm, No. 123
DFT formation energy = -105.1 meV/atom
Theoretical density = 4.5 g/cm3

Geometry as POSCAR:
```
Pm3YMg4
1.0
-1.781 -3.121 1.369
-0.663 -1.197 -3.593
13.419 -7.631 0.065
Y Mg Pm
1 4 3
Cartesian
-1.222 -2.159 -1.112
11.797 -6.708 0.057
1.622 -0.923 0.008
5.009 -2.848 0.024
8.410 -4.782 0.041
2.096 -4.046 -1.096
5.487 -5.974 -1.080
8.879 -7.903 -1.063
```

DFT (PBE) results for a relaxed Pm7Y2Mg2 crystal.

Calculated values
M_tot = 0.00 μB per formula unit
Energy above the lowest structure with this stoichiometry = 0.66 eV/f.u.
Symmetry = C2/m, No. 12
DFT formation energy = 178.9 meV/atom
Theoretical density = 5.7 g/cm3

Geometry as POSCAR:
```
Pm7Y2Mg2
1.0
-2.615 3.056 5.404
2.193 -7.033 2.454
6.954 3.283 -1.077
Pm Y Mg
7 2 2
Cartesian
4.457 -4.563 2.909
-0.355 -1.396 5.674
2.075 3.870 3.872
6.887 0.702 1.106
0.000 0.000 0.000
4.811 -1.039 3.451
1.721 0.345 3.330
4.986 3.380 2.115
1.546 -4.073 4.666
3.016 -1.193 0.583
3.516 0.499 6.198
```

DFT (PBE) results for a relaxed PmY14Mg crystal.

Calculated values
M_tot = 0.01 μB per formula unit
Symmetry = Amm2, No. 38
DFT formation energy = 49.5 meV/atom
Theoretical density = 4.6 g/cm3

Geometry as POSCAR:
```
PmY14Mg
1.0
-3.402 -4.085 -4.470
-0.075 -3.240 6.143
-9.537 5.116 2.583
Pm Y Mg
1 14 1
Cartesian
-1.344 -3.563 2.093
-6.100 -1.001 3.427
-7.582 -1.378 -1.302
-3.091 -5.800 0.076
-7.842 -3.306 1.560
-1.154 -1.720 -0.856
-5.831 0.929 0.592
-9.612 -1.822 4.417
-4.704 -4.455 3.087
-7.595 2.428 3.446
-2.687 -0.206 2.117
-7.773 0.437 6.244
-3.059 -2.092 4.967
-9.243 0.064 1.559
-4.527 -2.466 0.282
-2.887 -3.954 -2.829
```

DFT (PBE) results for a relaxed PmYMg4 crystal.

Calculated values
M_tot = 0.35 μB per formula unit
Energy above the lowest structure with this stoichiometry = 0.23 eV/f.u.
Symmetry = C2/m, No. 12
DFT formation energy = -55.9 meV/atom
Theoretical density = 3.5 g/cm3

Geometry as POSCAR:
```
PmYMg4
1.0
3.342 0.000 0.967
2.143 6.646 -1.149
-0.479 -3.311 7.917
Pm Y Mg
1 1 4
Cartesian
0.000 0.000 0.000
2.503 1.667 3.867
3.444 0.424 6.876
3.076 5.453 1.886
1.562 2.910 0.859
1.930 -2.119 5.849
```

DFT (PBE) results for a relaxed PmY2Mg crystal.

Calculated values
M_tot = 0.00 μB per formula unit
Energy above the lowest structure with this stoichiometry = 0.32 eV/f.u.
Symmetry = R3m, No. 160
DFT formation energy = 42.5 meV/atom
Theoretical density = 4.6 g/cm3

Geometry as POSCAR:
```
PmY2Mg
1.0
-0.629 -3.500 -0.116
1.128 -2.104 2.638
-9.661 -0.291 6.312
Pm Y Mg
1 2 1
Cartesian
-9.323 -4.028 7.990
-7.126 -0.700 4.901
-2.375 -1.460 2.255
-4.581 -2.945 4.415
```

DFT (PBE) results for a relaxed Pm12Y5Mg2 crystal.

Calculated values
M_tot = 0.00 μB per formula unit
Symmetry = C2/m, No. 12
DFT formation energy = 86.6 meV/atom
Theoretical density = 5.9 g/cm3

Geometry as POSCAR:
```
Pm12Y5Mg2
1.0
-5.453 1.896 7.103
1.178 -8.679 -2.676
6.807 -0.352 5.319
Pm Y Mg
12 5 2
Cartesian
-3.236 -5.578 4.903
5.826 -6.302 2.439
2.391 -5.107 6.914
2.084 -6.247 0.963
-0.047 -5.506 3.739
3.110 -7.065 4.273
-0.578 -0.070 5.473
0.448 -0.887 8.783
2.579 -1.628 6.007
-3.294 -0.833 7.306
0.141 -2.027 2.832
5.768 -1.557 4.843
3.163 -3.800 3.442
5.719 -4.937 5.708
3.403 -0.176 2.660
-3.187 -2.198 4.038
-0.631 -3.334 6.303
-3.620 1.259 4.715
-1.833 0.637 2.388
```

DFT (PBE) results for a relaxed Pm5Y6Mg crystal.

Calculated values
M_tot = 0.00 μB per formula unit
Symmetry = Immm, No. 71
DFT formation energy = 20.6 meV/atom
Theoretical density = 5.5 g/cm3

Geometry as POSCAR:
```
Pm5Y6Mg
1.0
4.877 -0.007 -1.418
-3.289 8.579 -2.263
0.106 -0.435 9.452
Y Mg Pm
6 1 5
Cartesian
0.982 0.512 3.371
1.839 4.631 6.292
2.859 2.015 0.722
-1.165 6.123 5.049
-0.145 3.506 -0.521
0.711 7.626 2.400
0.000 0.000 0.000
1.974 1.077 6.774
-1.030 2.581 5.532
0.847 4.069 2.885
-2.153 5.563 1.656
-0.280 7.061 -1.004
```

DFT (PBE) results for a relaxed Pm3YMg2 crystal.

Calculated values
M_tot = 0.00 μB per formula unit
Symmetry = P4/mmm, No. 123
DFT formation energy = -56.3 meV/atom
Theoretical density = 5.2 g/cm3

Geometry as POSCAR:
```
Pm3YMg2
1.0
-1.029 1.046 3.499
3.001 -1.829 1.430
6.970 10.566 -1.108
Pm Y Mg
3 1 2
Cartesian
0.000 0.000 0.000
4.820 7.307 -0.766
2.150 3.259 -0.342
4.471 4.891 1.910
6.886 8.552 1.526
2.056 1.230 2.294
```